[1]
PaSi2Ir3: optimized geometry, PBE.

E_form (uncorrected): -0.92 eV per atom
size of the total moment: 0.00 μB per formula unit
VASP energy: -8.7378 eV per atom

a b c (Å): 3.955 8.306 9.711
angles (deg): 107.34 90.00 103.77
Element x y z (fractional)
Si  0.464  0.929  0.226
Si  0.536  0.071  0.774
Ir  0.777  0.554  0.611
Ir  0.957  0.913  0.672
Ir  0.043  0.087  0.328
Pa  0.843  0.686  0.300
Si  0.197  0.394  0.127
Ir  0.380  0.761  0.805
Si  0.803  0.606  0.873
Pa  0.157  0.314  0.700
Pa  0.000  0.000  0.000
Ir  0.223  0.446  0.389
Si  0.363  0.727  0.550
Si  0.637  0.273  0.450
Ir  0.500  0.000  0.500
Ir  0.620  0.239  0.195
Ir  0.325  0.650  0.051
Ir  0.675  0.350  0.949

---

[2]
PrZr2S4: optimized geometry, PBE.

E_form (uncorrected): -1.65 eV per atom
size of the total moment: 0.00 μB per formula unit
VASP energy: -7.1347 eV per atom

a b c (Å): 3.736 6.307 13.229
angles (deg): 90.00 90.00 107.23
Element x y z (fractional)
Pr  0.388  0.777  0.250
Zr  0.858  0.716  0.559
Pr  0.612  0.223  0.750
S  0.222  0.445  0.622
S  0.778  0.555  0.122
S  0.778  0.555  0.378
S  0.500  0.000  0.500
S  0.222  0.445  0.878
S  0.063  0.127  0.250
Zr  0.858  0.716  0.941
S  0.500  0.000  0.000
Zr  0.142  0.284  0.059
Zr  0.142  0.284  0.441
S  0.937  0.873  0.750

---

[3]
Hf2NbCr: optimized geometry, PBE.

energy above the most stable polymorph in this dataset: 45.4 meV/atom
size of the total moment: 2.76 μB per formula unit
energy relative to the elements: 172.8 meV per atom
VASP energy: -9.7272 eV per atom

a b c (Å): 4.747 4.747 4.747
angles (deg): 60.00 60.00 60.00
Element x y z (fractional)
Cr  0.000  0.000  0.000
Hf  0.750  0.750  0.750
Hf  0.250  0.250  0.250
Nb  0.500  0.500  0.500

---

[4]
Er8Tl2Zn: optimized geometry, PBE.

size of the total moment: 0.00 μB per formula unit
energy relative to the elements: -143.2 meV per atom
VASP energy: -4.0077 eV per atom

a b c (Å): 5.130 6.736 9.535
angles (deg): 102.49 105.60 90.00
Element x y z (fractional)
Er  0.982  0.230  0.964
Er  0.018  0.770  0.036
Tl  0.812  0.255  0.625
Tl  0.188  0.745  0.375
Er  0.799  0.700  0.597
Er  0.201  0.300  0.403
Er  0.590  0.456  0.181
Er  0.652  0.971  0.305
Er  0.410  0.544  0.819
Zn  0.500  0.000  0.000
Er  0.348  0.029  0.695

---

[5]
Sr2HfCl: optimized geometry, PBE.

E_form (uncorrected): 0.07 eV per atom
energy above the most stable polymorph in this dataset: 0.0 meV/atom
size of the total moment: 1.10 μB per formula unit
VASP energy: -3.7230 eV per atom

a b c (Å): 8.720 8.720 7.255
angles (deg): 53.06 53.06 90.00
Element x y z (fractional)
Sr  0.875  0.811  0.750
Hf  0.000  0.000  0.000
Sr  0.189  0.625  0.250
Cl  0.250  0.750  0.500
Cl  0.500  0.500  0.000
Sr  0.561  0.125  0.250
Hf  0.750  0.250  0.500
Sr  0.375  0.439  0.750